Record 1
CoGeC3: PBEsol geometry, meta-GGA SCAN.

Properties
The value obtained for the density of states at the Fermi level is 0.743 states/eV per atom. Its crystal system is cubic. Its total energy is -11.0869 eV per atom. The calculation puts the theoretical density at 5.31 g/cm³.

Cell: 3.743 3.743 3.743 Å, 90.00 90.00 90.00°
Space group Pm-3m (No. 221)
Asymmetric unit:
Co 0.000 0.000 0.000 x1
Ge 0.500 0.500 0.500 x1
C 0.000 0.000 0.500 x3



Record 2
PAu2: PBEsol geometry, meta-GGA SCAN.

Properties
The value obtained for the density of states at the Fermi level is 0.335 states/eV per atom. Its crystal system is orthorhombic. Its total energy is -49.3289 eV per atom. The calculation puts the theoretical density at 13.06 g/cm³.

Cell: 2.885 19.168 3.908 Å, 90.00 90.00 90.00°
Space group Cmcm (No. 63)
Asymmetric unit:
P 0.000 0.102 0.250 x4
Au 0.000 0.290 0.750 x4
Au 0.000 0.440 0.250 x4



Record 3
LiSi: PBEsol geometry, meta-GGA SCAN.

Properties
The value obtained for the density of states at the Fermi level is 0.222 states/eV per atom. As for the formation energy from raw total energies: -0.116 eV/atom. Its crystal system is tetragonal. Its total energy is -6.3192 eV per atom. The calculation puts the theoretical density at 2.16 g/cm³.

Cell: 2.557 2.557 4.122 Å, 90.00 90.00 90.00°
Space group P4/mmm (No. 123)
Asymmetric unit:
Li 0.000 0.000 0.000 x1
Si 0.500 0.500 0.500 x1



Record 4
TeMoW2F: PBEsol geometry, meta-GGA SCAN.

Properties
The value obtained for the density of states at the Fermi level is 0.839 states/eV per atom. As for the formation energy from raw total energies: 1.126 eV/atom. Its crystal system is tetragonal. Its total energy is -41.8846 eV per atom. The calculation puts the theoretical density at 12.49 g/cm³.

Cell: 4.050 4.050 4.945 Å, 90.00 90.00 90.00°
Space group P4/mmm (No. 123)
Asymmetric unit:
Te 0.000 0.000 0.000 x1
Mo 0.500 0.500 0.000 x1
W 0.000 0.500 0.500 x2
F 0.000 0.000 0.500 x1



Record 5
Cs: PBEsol geometry, meta-GGA SCAN.

Properties
The value obtained for the density of states at the Fermi level is 1.138 states/eV per atom. The offset from the most stable computed form is 4 meV per atom. Its crystal system is tetragonal. Its total energy is -37.8065 eV per atom. The calculation puts the theoretical density at 2.05 g/cm³.

Cell: 10.672 10.672 7.573 Å, 90.00 90.00 90.00°
Space group P4_2/mbc (No. 135)
Asymmetric unit:
Cs 0.005 0.250 0.000 x8



Record 6
K2BaH2: PBEsol geometry, meta-GGA SCAN.

Properties
The value obtained for the density of states at the Fermi level is 0.089 states/eV per atom. Its crystal system is tetragonal. Its total energy is -12.6067 eV per atom. The calculation puts the theoretical density at 2.24 g/cm³.

Cell: 4.931 4.931 13.241 Å, 90.00 90.00 90.00°
Space group I4/mmm (No. 139)
Asymmetric unit:
K 0.000 0.000 0.182 x4
Ba 0.000 0.000 0.500 x2
H 0.000 0.500 0.250 x4



Record 7
Co2TcTe: PBEsol geometry, meta-GGA SCAN.

Properties
The value obtained for the density of states at the Fermi level is 1.147 states/eV per atom. As for the formation energy from raw total energies: 0.532 eV/atom. Its crystal system is tetragonal. Its total energy is -26.1982 eV per atom. The calculation puts the theoretical density at 10.34 g/cm³.

Cell: 3.232 3.232 5.282 Å, 90.00 90.00 90.00°
Space group P4/mmm (No. 123)
Asymmetric unit:
Co 0.000 0.000 0.228 x2
Tc 0.500 0.500 0.000 x1
Te 0.500 0.500 0.500 x1



Record 8
SrCaMnO4: PBEsol geometry, meta-GGA SCAN.

Properties
As for the formation energy from raw total energies: -2.845 eV/atom. Its crystal system is tetragonal. Its total energy is -13.5761 eV per atom. The calculation puts the theoretical density at 4.86 g/cm³.

Cell: 3.737 3.737 12.058 Å, 90.00 90.00 90.00°
Space group I4mm (No. 107)
Asymmetric unit:
Sr 0.000 0.000 0.000 x2
Ca 0.000 0.000 0.712 x2
Mn 0.000 0.000 0.353 x2
O 0.000 0.000 0.197 x2
O 0.000 0.000 0.515 x2
O 0.000 0.500 0.349 x4



Record 9
BaTl2In: PBEsol geometry, meta-GGA SCAN.

Properties
The value obtained for the density of states at the Fermi level is 0.707 states/eV per atom. Its crystal system is tetragonal. Its total energy is -54.7289 eV per atom. The calculation puts the theoretical density at 8.96 g/cm³.

Cell: 4.990 4.990 4.919 Å, 90.00 90.00 90.00°
Space group P4/mmm (No. 123)
Asymmetric unit:
Ba 0.000 0.000 0.000 x1
Tl 0.000 0.500 0.500 x2
In 0.500 0.500 0.000 x1



Record 10
BaAg2W: PBEsol geometry, meta-GGA SCAN.

Properties
The value obtained for the density of states at the Fermi level is 0.696 states/eV per atom. The offset from the most stable computed form is 0 meV per atom. Its crystal system is tetragonal. Its total energy is -42.1784 eV per atom. The calculation puts the theoretical density at 10.82 g/cm³.

Cell: 3.031 3.031 8.967 Å, 90.00 90.00 90.00°
Space group P4/mmm (No. 123)
Asymmetric unit:
Ba 0.000 0.000 0.000 x1
Ag 0.500 0.500 0.298 x2
W 0.000 0.000 0.500 x1



Record 11
Si2AgSb: PBEsol geometry, meta-GGA SCAN.

Properties
The value obtained for the density of states at the Fermi level is 0.357 states/eV per atom. As for the formation energy from raw total energies: 0.464 eV/atom. Its crystal system is orthorhombic. Its total energy is -21.7013 eV per atom. The calculation puts the theoretical density at 6.19 g/cm³.

Cell: 3.539 4.002 10.827 Å, 90.00 90.00 90.00°
Space group Imm2 (No. 44)
Asymmetric unit:
Si 0.000 0.000 0.000 x2
Si 0.000 0.500 0.342 x2
Ag 0.000 0.500 0.827 x2
Sb 0.000 0.000 0.631 x2



Record 12
SrCuI3: PBEsol geometry, meta-GGA SCAN.

Properties
The value obtained for the density of states at the Fermi level is 0.233 states/eV per atom. As for the formation energy from raw total energies: -0.833 eV/atom. Its crystal system is cubic. Its total energy is -30.3733 eV per atom. The calculation puts the theoretical density at 5.54 g/cm³.

Cell: 5.423 5.423 5.423 Å, 90.00 90.00 90.00°
Space group Pm-3m (No. 221)
Asymmetric unit:
Sr 0.000 0.000 0.000 x1
Cu 0.500 0.500 0.500 x1
I 0.000 0.500 0.500 x3